Entry 1:
{"formula": "Tm4ZrP5", "functional": "PBE", "state": "optimized geometry", "lattice": [[-4.356, 4.356, 2.758], [4.356, -4.356, 2.758], [4.356, 4.356, -2.758]], "species": ["Tm", "Tm", "Tm", "Tm", "Zr", "P", "P", "P", "P", "P"], "frac_coords": [[0.098, 0.300, 0.398], [0.300, 0.902, 0.202], [0.700, 0.098, 0.798], [0.902, 0.700, 0.602], [0.500, 0.500, 0.000], [0.000, 0.000, 0.000], [0.206, 0.598, 0.805], [0.402, 0.206, 0.608], [0.598, 0.794, 0.392], [0.794, 0.402, 0.195]]}


Entry 2:
{"formula": "TmZrP2", "functional": "PBE", "state": "optimized geometry", "lattice": [[-2.713, 2.713, 5.421], [2.713, -2.713, 5.421], [2.713, 2.713, -5.421]], "species": ["Tm", "Tm", "Zr", "Zr", "P", "P", "P", "P"], "frac_coords": [[0.375, 0.625, 0.750], [0.625, 0.375, 0.250], [0.125, 0.875, 0.250], [0.875, 0.125, 0.750], [0.122, 0.372, 0.750], [0.372, 0.122, 0.250], [0.628, 0.878, 0.750], [0.878, 0.628, 0.250]], "polymorph_energy_mev_per_atom": 19.1}


Entry 3:
{"formula": "Tm3ZrP4", "functional": "PBE", "state": "optimized geometry", "lattice": [[3.895, -5.490, 0.000], [3.895, 5.490, 0.000], [0.000, 0.000, 3.882]], "species": ["Tm", "Tm", "Tm", "Zr", "P", "P", "P", "P"], "frac_coords": [[0.000, 0.000, 0.000], [0.000, 0.500, 0.500], [0.500, 0.000, 0.500], [0.500, 0.500, 0.000], [0.254, 0.746, 0.000], [0.258, 0.258, 0.500], [0.742, 0.742, 0.500], [0.746, 0.254, 0.000]]}


Entry 4:
{"formula": "Tm2ZrP3", "functional": "PBE", "state": "optimized geometry", "lattice": [[-1.936, 1.936, 8.202], [1.936, -1.936, 8.202], [1.936, 1.936, -8.202]], "species": ["Tm", "Tm", "Zr", "P", "P", "P"], "frac_coords": [[0.167, 0.167, 0.000], [0.833, 0.833, 0.000], [0.500, 0.500, 0.000], [0.000, 0.000, 0.000], [0.337, 0.337, 0.000], [0.663, 0.663, 0.000]]}


Entry 5:
{"formula": "TmZr2P", "functional": "PBE", "state": "optimized geometry", "lattice": [[1.813, 1.047, 8.276], [-1.813, 1.047, 8.276], [0.000, -2.093, 8.276]], "species": ["Tm", "Zr", "Zr", "P"], "frac_coords": [[0.000, 0.000, 0.000], [0.559, 0.559, 0.559], [0.773, 0.773, 0.773], [0.167, 0.167, 0.167]], "polymorph_energy_mev_per_atom": 0.0}


Entry 6:
{"formula": "TmZrP", "functional": "PBE", "state": "optimized geometry", "lattice": [[4.458, 0.000, 0.000], [-2.229, 3.861, 0.000], [0.000, 0.000, 3.852]], "species": ["Tm", "Zr", "P"], "frac_coords": [[0.000, 0.000, 0.000], [0.333, 0.667, 0.500], [0.667, 0.333, 0.498]]}


Entry 7:
{"formula": "TmZrP2", "functional": "PBE", "state": "optimized geometry", "lattice": [[1.887, 1.089, 6.593], [-1.887, 1.089, 6.593], [0.000, -2.178, 6.593]], "species": ["Tm", "Zr", "P", "P"], "frac_coords": [[0.000, 0.000, 0.000], [0.826, 0.826, 0.826], [0.415, 0.415, 0.415], [0.575, 0.575, 0.575]], "polymorph_energy_mev_per_atom": 110.0}


Entry 8:
{"formula": "TmZr3P4", "functional": "PBE", "state": "optimized geometry", "lattice": [[3.796, -5.360, 0.000], [3.796, 5.360, 0.000], [0.000, 0.000, 3.781]], "species": ["Tm", "Zr", "Zr", "Zr", "P", "P", "P", "P"], "frac_coords": [[0.000, 0.000, 0.000], [0.000, 0.500, 0.500], [0.500, 0.000, 0.500], [0.500, 0.500, 0.000], [0.253, 0.747, 0.000], [0.256, 0.256, 0.500], [0.744, 0.744, 0.500], [0.747, 0.253, 0.000]]}


Entry 9:
{"formula": "TmZr2P3", "functional": "PBE", "state": "optimized geometry", "lattice": [[-1.896, 2.691, 5.716], [1.896, -2.691, 5.716], [1.896, 2.691, -5.716]], "species": ["Tm", "Zr", "Zr", "P", "P", "P"], "frac_coords": [[0.000, 0.000, 0.000], [0.336, 0.336, 0.000], [0.664, 0.664, 0.000], [0.172, 0.672, 0.500], [0.500, 0.000, 0.500], [0.828, 0.328, 0.500]]}


Entry 10:
{"formula": "TmZrP2", "functional": "PBE", "state": "optimized geometry", "lattice": [[1.908, 1.101, 6.328], [-1.908, 1.101, 6.328], [0.000, -2.203, 6.328]], "species": ["Tm", "Zr", "P", "P"], "frac_coords": [[0.000, 0.000, 0.000], [0.500, 0.500, 0.500], [0.247, 0.247, 0.247], [0.753, 0.753, 0.753]], "polymorph_energy_mev_per_atom": 0.0}


Entry 11:
{"formula": "UP2", "functional": "PBE", "state": "optimized geometry", "lattice": [[0.000, 3.157, 3.157], [3.157, 0.000, 3.157], [3.157, 3.157, 0.000]], "species": ["U", "P", "P"], "frac_coords": [[0.000, 0.000, 0.000], [0.250, 0.250, 0.250], [0.750, 0.750, 0.750]]}


Entry 12:
{"formula": "U4P", "functional": "PBE", "state": "optimized geometry", "lattice": [[5.070, 0.000, 0.000], [0.000, 5.070, 0.000], [0.000, 0.000, 5.070]], "species": ["U", "U", "U", "U", "P"], "frac_coords": [[0.000, 0.000, 0.000], [0.000, 0.500, 0.500], [0.500, 0.000, 0.500], [0.500, 0.500, 0.000], [0.500, 0.500, 0.500]]}


Entry 13:
{"formula": "UP", "functional": "PBE", "state": "optimized geometry", "lattice": [[0.000, 2.777, 2.777], [2.777, 0.000, 2.777], [2.777, 2.777, 0.000]], "species": ["U", "P"], "frac_coords": [[0.000, 0.000, 0.000], [0.500, 0.500, 0.500]]}


Entry 14:
{"formula": "UP2", "functional": "PBE", "state": "optimized geometry", "lattice": [[-2.685, 2.685, 7.674], [2.685, -2.685, 7.674], [2.685, 2.685, -7.674]], "species": ["U", "U", "U", "U", "P", "P", "P", "P", "P", "P", "P", "P"], "frac_coords": [[0.000, 0.000, 0.000], [0.275, 0.775, 0.500], [0.486, 0.486, 0.000], [0.775, 0.275, 0.500], [0.307, 0.307, 0.000], [0.409, 0.409, 0.550], [0.409, 0.859, 0.000], [0.456, 0.956, 0.500], [0.818, 0.818, 0.000], [0.859, 0.409, 0.000], [0.859, 0.859, 0.450], [0.956, 0.456, 0.500]]}


Entry 15:
{"formula": "U5P", "functional": "PBE", "state": "optimized geometry", "lattice": [[2.051, -7.050, 0.000], [2.051, 7.050, 0.000], [0.000, 0.000, 4.020]], "species": ["U", "U", "U", "U", "U", "P"], "frac_coords": [[0.000, 0.000, 0.000], [0.155, 0.845, 0.500], [0.339, 0.661, 0.000], [0.661, 0.339, 0.000], [0.845, 0.155, 0.500], [0.500, 0.500, 0.500]]}


Entry 16:
{"formula": "U3P4", "functional": "PBE", "state": "optimized geometry", "lattice": [[-4.086, 4.086, 4.086], [4.086, -4.086, 4.086], [4.086, 4.086, -4.086]], "species": ["U", "U", "U", "U", "U", "U", "P", "P", "P", "P", "P", "P", "P", "P"], "frac_coords": [[0.125, 0.875, 0.250], [0.250, 0.125, 0.875], [0.375, 0.625, 0.750], [0.625, 0.750, 0.375], [0.750, 0.375, 0.625], [0.875, 0.250, 0.125], [0.000, 0.160, 0.500], [0.000, 0.660, 0.500], [0.160, 0.500, 0.000], [0.340, 0.340, 0.340], [0.500, 0.000, 0.160], [0.500, 0.000, 0.660], [0.660, 0.500, 0.000], [0.840, 0.840, 0.840]]}


Entry 17:
{"formula": "U4P5", "functional": "PBE", "state": "optimized geometry", "lattice": [[-4.398, 4.398, 2.755], [4.398, -4.398, 2.755], [4.398, 4.398, -2.755]], "species": ["U", "U", "U", "U", "P", "P", "P", "P", "P"], "frac_coords": [[0.105, 0.296, 0.400], [0.296, 0.895, 0.191], [0.704, 0.105, 0.809], [0.895, 0.704, 0.600], [0.000, 0.000, 0.000], [0.192, 0.600, 0.792], [0.400, 0.192, 0.592], [0.600, 0.808, 0.408], [0.808, 0.400, 0.208]]}


Entry 18:
{"formula": "UP2", "functional": "PBE", "state": "optimized geometry", "lattice": [[2.022, 1.168, 7.889], [-2.022, 1.168, 7.889], [0.000, -2.335, 7.889]], "species": ["U", "U", "P", "P", "P", "P"], "frac_coords": [[0.075, 0.075, 0.075], [0.925, 0.925, 0.925], [0.198, 0.198, 0.198], [0.336, 0.336, 0.336], [0.664, 0.664, 0.664], [0.802, 0.802, 0.802]]}


Entry 19:
{"formula": "UP2", "functional": "PBE", "state": "optimized geometry", "lattice": [[3.784, 0.000, 0.000], [0.000, 3.784, 0.000], [0.000, 0.000, 7.683]], "species": ["U", "U", "P", "P", "P", "P"], "frac_coords": [[0.250, 0.250, 0.218], [0.750, 0.750, 0.782], [0.250, 0.250, 0.856], [0.250, 0.750, 0.500], [0.750, 0.250, 0.500], [0.750, 0.750, 0.144]]}


Entry 20:
{"formula": "U3P2", "functional": "PBE", "state": "optimized geometry", "lattice": [[-1.924, 3.475, 3.496], [1.924, -3.475, 3.496], [1.924, 3.475, -3.496]], "species": ["U", "U", "U", "P", "P"], "frac_coords": [[0.000, 0.000, 0.000], [0.293, 0.793, 0.500], [0.707, 0.207, 0.500], [0.282, 0.500, 0.782], [0.718, 0.500, 0.218]]}


Per-record formation energy, eV per atom: -1.558; -1.462; -1.550; -1.507; -0.647; -0.499; -1.371; -1.400; -1.425; -1.481; -0.495; 0.620; -0.964; -0.803; -0.168; -0.966; -0.683; -0.452; -0.800; -0.628